A plane-wave DFT calculation with PBE with a Hubbard U was carried out for a geometry-optimized MnCdP2O8 structure.

Values from the calculation:
- Calculated total energy: -78.881 eV/cell
- Spin magnetization: 2.98 μB per formula unit

Cell lengths 5.7350, 5.7350, 5.7350 Å; angles 105.83, 105.83, 117.02 degrees
Last column: nearest neighbours and their distance in Å.
Sites, in units of the cell vectors:
Mn  0.0000  0.0000  0.0000  8 O 2.30
Cd  0.2500  0.7500  0.5000  8 O 2.34-2.38
P  0.5000  0.5000  0.0000  4 O 1.55
P  0.7500  0.2500  0.5000  4 O 1.56
O  0.3299  0.1611  0.8312  1 P 1.55
O  0.3299  0.4987  0.1688  1 P 1.55
O  0.4129  0.0900  0.3228  1 P 1.56
O  0.5013  0.6701  0.8312  1 P 1.55
O  0.7672  0.0900  0.6772  1 P 1.56
O  0.8389  0.6701  0.1688  1 P 1.55
O  0.9100  0.2328  0.3228  1 P 1.56
O  0.9100  0.5871  0.6772  1 P 1.56